MgTi3Co4 after structural relaxation, computed with PBE.

Lattice parameters (Å, degrees): 4.2151 4.2151 20.6156 90.00 90.00 120.00
Space group R-3m (No. 166, hexagonal axes)
One atom of each set of equivalent atoms:
Mg (0.0000, 0.0000, 0.0000) (multiplicity 3)
Ti (0.0000, 0.0000, 0.2527) (multiplicity 6)
Ti (0.0000, 0.0000, 0.5000) (multiplicity 3)
Co (0.0000, 0.0000, 0.1296) (multiplicity 6)
Co (0.0000, 0.0000, 0.3804) (multiplicity 6)

Values from the calculation:
As for the total magnetization: 1.865 μB per formula unit. The calculation puts the energy of formation from the pure elements at -0.334 eV/atom.